Entry from Alexandria: a relaxed CdPt2Au crystal (GGA-PBE).

Lattice parameters (Å, degrees): 2.864 4.890 4.938 90.00 90.88 90.00
Fractional coordinates of all 4 atoms:
Cd  0.000  0.000  0.000
Pt  0.256  0.500  0.749
Pt  0.744  0.500  0.251
Au  0.500  0.000  0.500

Properties
energy relative to the elements	-0.103	eV per atom

***

Entry from Alexandria: a relaxed Cd2PtAu2 crystal (GGA-PBE).

Lattice parameters (Å, degrees): 7.357 7.357 7.357 132.39 66.63 136.26
Fractional coordinates of all 10 atoms:
Cd  0.176  0.194  0.370
Cd  0.324  0.694  0.018
Cd  0.676  0.306  0.982
Cd  0.824  0.806  0.630
Pt  0.250  0.250  0.000
Pt  0.750  0.750  0.000
Au  0.097  0.639  0.737
Au  0.403  0.139  0.542
Au  0.597  0.861  0.458
Au  0.903  0.361  0.263

Properties
energy relative to the elements	-0.112	eV per atom
excess energy over the best structure of this formula in the dataset	10	meV per atom

***

Entry from Alexandria: a relaxed CdPt4Au crystal (GGA-PBE).

Lattice parameters (Å, degrees): 5.324 5.324 5.324 60.00 60.00 60.00
Fractional coordinates of all 6 atoms:
Cd  0.000  0.000  0.000
Pt  0.125  0.625  0.625
Pt  0.625  0.125  0.625
Pt  0.625  0.625  0.125
Pt  0.625  0.625  0.625
Au  0.250  0.250  0.250

Properties
energy relative to the elements	-0.016	eV per atom
excess energy over the best structure of this formula in the dataset	27	meV per atom

***

Entry from Alexandria: a relaxed Cd2Pt9Au crystal (GGA-PBE).

Lattice parameters (Å, degrees): 4.024 4.024 12.153 90.00 90.00 90.00
Fractional coordinates of all 12 atoms:
Cd  0.000  0.000  0.168
Cd  0.000  0.000  0.832
Pt  0.000  0.500  0.000
Pt  0.000  0.500  0.334
Pt  0.000  0.500  0.666
Pt  0.500  0.000  0.000
Pt  0.500  0.000  0.334
Pt  0.500  0.000  0.666
Pt  0.500  0.500  0.166
Pt  0.500  0.500  0.500
Pt  0.500  0.500  0.834
Au  0.000  0.000  0.500

Properties
energy relative to the elements	-0.100	eV per atom

***

Entry from Alexandria: a relaxed Cd6PtAu3 crystal (GGA-PBE).

Lattice parameters (Å, degrees): 5.698 5.698 7.734 109.14 109.14 64.97
Fractional coordinates of all 10 atoms:
Cd  0.101  0.613  0.689
Cd  0.171  0.171  0.898
Cd  0.387  0.899  0.311
Cd  0.613  0.101  0.689
Cd  0.829  0.829  0.102
Cd  0.899  0.387  0.311
Pt  0.000  0.000  0.500
Au  0.384  0.384  0.296
Au  0.500  0.500  0.000
Au  0.616  0.616  0.704

Properties
energy relative to the elements	-0.081	eV per atom
excess energy over the best structure of this formula in the dataset	94	meV per atom

***

Entry from Alexandria: a relaxed Cd4PtAu7 crystal (GGA-PBE).

Lattice parameters (Å, degrees): 5.882 6.661 6.672 96.78 101.83 115.94
Fractional coordinates of all 12 atoms:
Cd  0.003  0.167  0.179
Cd  0.274  0.676  0.180
Cd  0.726  0.324  0.820
Cd  0.997  0.833  0.821
Pt  0.500  0.500  0.500
Au  0.000  0.500  0.500
Au  0.237  0.337  0.834
Au  0.251  0.005  0.497
Au  0.499  0.169  0.164
Au  0.501  0.831  0.836
Au  0.749  0.995  0.503
Au  0.763  0.663  0.166

Properties
energy relative to the elements	-0.130	eV per atom
excess energy over the best structure of this formula in the dataset	0	meV per atom

***

Entry from Alexandria: a relaxed Cd6Pt3Au crystal (GGA-PBE).

Lattice parameters (Å, degrees): 7.419 6.816 10.833 90.00 131.72 90.00
Fractional coordinates of all 20 atoms:
Cd  0.023  0.087  0.251
Cd  0.023  0.413  0.751
Cd  0.222  0.145  0.073
Cd  0.222  0.355  0.573
Cd  0.411  0.631  0.068
Cd  0.411  0.869  0.568
Cd  0.589  0.131  0.432
Cd  0.589  0.369  0.932
Cd  0.778  0.645  0.427
Cd  0.778  0.855  0.927
Cd  0.977  0.587  0.249
Cd  0.977  0.913  0.749
Pt  0.000  0.000  0.500
Pt  0.000  0.500  0.000
Pt  0.285  0.700  0.747
Pt  0.285  0.800  0.247
Pt  0.715  0.200  0.753
Pt  0.715  0.300  0.253
Au  0.500  0.000  0.000
Au  0.500  0.500  0.500

Properties
energy relative to the elements	-0.178	eV per atom

***

Entry from Alexandria: a relaxed CdPtAu6 crystal (GGA-PBE).

Lattice parameters (Å, degrees): 5.885 5.885 4.150 90.00 90.00 90.08
Fractional coordinates of all 8 atoms:
Cd  0.000  0.000  0.000
Pt  0.500  0.500  0.000
Au  0.000  0.500  0.000
Au  0.252  0.748  0.500
Au  0.253  0.253  0.500
Au  0.500  0.000  0.000
Au  0.747  0.747  0.500
Au  0.748  0.252  0.500

Properties
energy relative to the elements	-0.046	eV per atom
excess energy over the best structure of this formula in the dataset	0	meV per atom

***

Entry from Alexandria: a relaxed Pu4CdPtAu2 crystal (GGA-PBE).

Lattice parameters (Å, degrees): 8.842 8.842 8.842 34.12 34.12 34.12
Fractional coordinates of all 8 atoms:
Pu  0.113  0.113  0.113
Pu  0.364  0.364  0.364
Pu  0.636  0.636  0.636
Pu  0.887  0.887  0.887
Cd  0.500  0.500  0.500
Pt  0.000  0.000  0.000
Au  0.237  0.237  0.237
Au  0.763  0.763  0.763

Properties
energy relative to the elements	-0.384	eV per atom

***

Entry from Alexandria: a relaxed Rb2Cd6PtAu crystal (GGA-PBE).

Lattice parameters (Å, degrees): 7.668 10.709 7.603 90.00 90.00 90.00
Fractional coordinates of all 20 atoms:
Rb  0.250  0.002  0.247
Rb  0.250  0.498  0.247
Rb  0.750  0.502  0.753
Rb  0.750  0.998  0.753
Cd  0.010  0.750  0.522
Cd  0.014  0.250  0.969
Cd  0.250  0.003  0.744
Cd  0.250  0.497  0.744
Cd  0.486  0.250  0.969
Cd  0.490  0.750  0.522
Cd  0.510  0.250  0.478
Cd  0.514  0.750  0.031
Cd  0.750  0.503  0.256
Cd  0.750  0.997  0.256
Cd  0.986  0.750  0.031
Cd  0.990  0.250  0.478
Pt  0.250  0.250  0.711
Pt  0.750  0.750  0.289
Au  0.250  0.750  0.790
Au  0.750  0.250  0.210

Properties
energy relative to the elements	-0.190	eV per atom

***

Entry from Alexandria: a relaxed RbCd2PtAu crystal (GGA-PBE).

Lattice parameters (Å, degrees): 5.282 5.282 5.361 90.00 90.00 90.00
Fractional coordinates of all 5 atoms:
Rb  0.000  0.000  0.000
Cd  0.000  0.500  0.500
Cd  0.500  0.000  0.500
Pt  0.500  0.500  0.500
Au  0.500  0.500  0.000

Properties
energy relative to the elements	-0.181	eV per atom

***

Entry from Alexandria: a relaxed Sc4CdPtAu2 crystal (GGA-PBE).

Lattice parameters (Å, degrees): 8.349 8.349 8.349 33.57 33.57 33.57
Fractional coordinates of all 8 atoms:
Sc  0.117  0.117  0.117
Sc  0.369  0.369  0.369
Sc  0.631  0.631  0.631
Sc  0.883  0.883  0.883
Cd  0.500  0.500  0.500
Pt  0.000  0.000  0.000
Au  0.240  0.240  0.240
Au  0.760  0.760  0.760

Properties
energy relative to the elements	-0.800	eV per atom